VASP calculation (GGA-PBE) on a relaxed structure of Cd4Rh.

Unit cell a=8.2228 b=8.2228 c=6.9346 alpha=90.00 beta=90.00 gamma=90.00
Last column: nearest neighbours and their distance in Å.
Space group I4_1/amd (No. 141, origin choice 2)
One atom of each set of equivalent atoms:
Cd1 0.0000 0.0684 0.2102 (multiplicity 16)  2 Rh 2.68-2.76, 1 Cd 2.99
Rh1 0.0000 0.2500 0.8750 (multiplicity 4)  8 Cd 2.68-2.76

Properties
The spin magnetization comes out at 0.00 μB per cell. For the energy of formation from the pure elements, the calculation gives 0.01 eV/atom.